[1]
! Pa2P2Ru (GGA-PBE, relaxed); values from VASP
&SYSTEM
  ibrav = 0, nat = 10, ntyp = 3
/
ATOMIC_SPECIES
Pa 231.04 Pa.upf
P 30.97 P.upf
Ru 101.07 Ru.upf
CELL_PARAMETERS angstrom
-1.544 -3.505 1.402
5.011 -1.320 2.218
-3.686 4.471 7.120
ATOMIC_POSITIONS angstrom
Pa 1.436 -2.687 3.764
P -1.008 -2.061 2.637
P -2.040 -0.273 5.972
Ru 0.286 -0.874 1.096
Ru -0.505 0.520 9.645
P 1.821 -0.082 4.769
Pa 0.485 -0.942 7.080
Pa -0.704 0.587 3.660
P 0.790 1.706 8.103
Pa -1.655 2.333 6.977
! Energy of formation from the pure elements (eV per atom): -0.969

=====

[2]
! SrCr2Ag (GGA-PBE, relaxed); values from VASP
&SYSTEM
  ibrav = 0, nat = 4, ntyp = 3
/
ATOMIC_SPECIES
Cr 52.00 Cr.upf
Sr 87.62 Sr.upf
Ag 107.87 Ag.upf
CELL_PARAMETERS angstrom
-2.354 3.410 2.521
-1.036 -2.130 1.913
4.392 -0.099 4.234
ATOMIC_POSITIONS angstrom
Cr 2.228 -1.126 3.603
Sr -0.338 1.148 2.797
Ag 1.339 0.034 5.871
Cr 3.841 -0.087 3.704
! Energy relative to the lowest polymorph listed for this composition (eV per atom): 0.414
! Energy of formation from the pure elements (eV per atom): 0.831

=====

[3]
! LaY2S (GGA-PBE, relaxed); values from VASP
&SYSTEM
  ibrav = 0, nat = 4, ntyp = 3
/
ATOMIC_SPECIES
Y 88.91 Y.upf
S 32.06 S.upf
La 138.91 La.upf
CELL_PARAMETERS angstrom
-3.305 0.321 1.614
-0.468 -1.119 3.487
1.285 9.097 5.045
ATOMIC_POSITIONS angstrom
Y -2.908 2.391 6.240
S -1.244 4.150 5.073
Y 0.419 5.909 3.906
La 0.000 0.000 0.000
! Formation energy from raw total energies (kJ/mol of formula units): -310

=====

[4]
! Nb3ReC (GGA-PBE, relaxed); values from VASP
&SYSTEM
  ibrav = 0, nat = 5, ntyp = 3
/
ATOMIC_SPECIES
Nb 92.91 Nb.upf
C 12.01 C.upf
Re 186.21 Re.upf
CELL_PARAMETERS angstrom
-2.300 1.623 3.931
-2.612 -4.065 0.150
3.356 -2.052 2.811
ATOMIC_POSITIONS angstrom
Nb -1.306 -2.033 0.075
Nb 1.678 -1.026 1.405
C -0.778 -2.247 3.446
Re 0.000 0.000 0.000
Nb -1.150 0.811 1.965
! Energy relative to the lowest polymorph listed for this composition (eV per atom): 2.315
! Energy of formation from the pure elements (eV per atom): 2.347

=====

Number 1: electronic total energy -8.786 eV/atom. Number 2: electronic total energy -5.114 eV/atom. Number 3: electronic total energy -6.298 eV/atom. Number 4: electronic total energy -8.030 eV/atom.